Record 1
VASP calculation (PBE) on a geometry-optimized Sc2TcIr structure.

a = 2.9543 Å, b = 2.9543 Å, c = 28.5011 Å
α = 90.00°, β = 90.00°, γ = 120.00°
Closest atoms and distances in Å follow each position.
Space group R3m (No. 160, hexagonal axes)
Symmetry-distinct sites (fractional):
Sc 0.0000 0.0000 0.0000 (multiplicity 3)  3 Ir 2.83, 6 Sc 2.95
Sc 0.0000 0.0000 0.2331 (multiplicity 3)  3 Tc 2.86, 6 Sc 2.95
Tc 0.0000 0.0000 0.4857 (multiplicity 3)  3 Ir 2.69, 3 Sc 2.86, 6 Tc 2.95
Ir 0.0000 0.0000 0.7460 (multiplicity 3)  3 Tc 2.69, 3 Sc 2.83, 6 Ir 2.95

Properties
* formation energy from the elements: 85 meV/atom

Record 2
VASP calculation (PBE) on a geometry-optimized DyThZnGa structure.

a = 7.2591 Å, b = 7.2591 Å, c = 7.2591 Å
α = 90.00°, β = 90.00°, γ = 90.00°
Closest atoms and distances in Å follow each position.
Space group F-43m (No. 216)
Symmetry-distinct sites (fractional):
Dy 0.0000 0.0000 0.0000 (multiplicity 4)  4 Ga 3.14, 4 Zn 3.14
Th 0.0000 0.0000 0.5000 (multiplicity 4)  4 Zn 3.14, 4 Ga 3.14
Zn 0.2500 0.2500 0.7500 (multiplicity 4)  4 Dy 3.14, 4 Th 3.14
Ga 0.2500 0.2500 0.2500 (multiplicity 4)  4 Th 3.14, 4 Dy 3.14

Properties
* formation energy from the elements: -391 meV/atom

Record 3
VASP calculation (PBE) on a geometry-optimized Ac2Pr12Y5 structure.

a = 13.4708 Å, b = 11.8706 Å, c = 9.6999 Å
α = 90.00°, β = 117.28°, γ = 90.00°
Closest atoms and distances in Å follow each position.
Space group C2/m (No. 12)
Symmetry-distinct sites (fractional):
Ac 0.0000 0.2359 0.0000 (multiplicity 4)  10 Pr 3.71-3.95, 2 Y 3.81
Pr 0.0757 0.0000 0.7764 (multiplicity 4)  5 Pr 3.37-3.66, 2 Y 3.55-3.75
Pr 0.1103 0.2165 0.4263 (multiplicity 8)  4 Pr 3.31-3.63, 2 Y 3.59-3.69, 1 Ac 3.71
Pr 0.1276 0.5000 0.9427 (multiplicity 4)  3 Pr 3.46-3.66, 4 Y 3.46-3.86, 2 Ac 3.74
Pr 0.1886 0.2569 0.8000 (multiplicity 8)  5 Pr 3.31-3.63, 1 Y 3.41
Y 0.0000 0.5000 0.5000 (multiplicity 2)  4 Y 3.61-3.72, 6 Pr 3.82-3.88
Y 0.1896 0.5000 0.3308 (multiplicity 4)  7 Pr 3.46-3.86, 2 Y 3.61-3.70
Y 0.1933 0.0000 0.2414 (multiplicity 4)  6 Pr 3.41-3.60, 2 Y 3.70-3.72, 2 Ac 3.81

Properties
* formation energy from the elements: 104 meV/atom

Record 4
VASP calculation (PBE) on a geometry-optimized PmNdTm5 structure.

a = 7.9810 Å, b = 11.5991 Å, c = 6.1551 Å
α = 90.00°, β = 90.00°, γ = 90.00°
Closest atoms and distances in Å follow each position.
Space group Imm2 (No. 44)
Symmetry-distinct sites (fractional):
Pm 0.0000 0.0000 0.0000 (multiplicity 2)  2 Tm 2.98
Nd 0.0000 0.5000 0.2533 (multiplicity 2)  4 Tm 2.91-3.25
Tm 0.0000 0.2569 0.9811 (multiplicity 4)  1 Pm 2.98, 1 Tm 3.23, 1 Nd 3.28
Tm 0.0000 0.5000 0.7260 (multiplicity 2)  2 Nd 2.91-3.25, 4 Tm 3.03-3.23
Tm 0.1808 0.0000 0.4935 (multiplicity 4)  2 Tm 2.89-3.03, 1 Nd 3.01

Properties
* formation energy from the elements: 998 meV/atom
* E above lowest polymorph: 798.9 meV per atom

Record 5
VASP calculation (PBE) on a geometry-optimized HgTe2Au structure.

a = 8.7359 Å, b = 4.3387 Å, c = 12.4366 Å
α = 90.00°, β = 109.21°, γ = 90.00°
Closest atoms and distances in Å follow each position.
Space group P2_1/c (No. 14)
Symmetry-distinct sites (fractional):
Hg 0.0961 0.2500 0.1503 (multiplicity 4)  4 Au 2.86-3.12, 2 Te 3.00
Te 0.3412 0.7488 0.4609 (multiplicity 4)  2 Au 2.78-2.79, 2 Te 3.11
Te 0.3469 0.7492 0.7121 (multiplicity 4)  2 Hg 3.00, 4 Te 3.11-3.33
Au 0.1297 0.2492 0.4081 (multiplicity 4)  2 Te 2.78-2.79, 2 Hg 2.86

Properties
* formation energy without anion corrections: 38 meV per atom

Record 6
VASP calculation (PBE) on a geometry-optimized SrLiCr structure.

a = 5.0856 Å, b = 5.0856 Å, c = 3.9890 Å
α = 90.00°, β = 90.00°, γ = 120.00°
Closest atoms and distances in Å follow each position.
Space group P3m1 (No. 156)
Symmetry-distinct sites (fractional):
Sr 0.0000 0.0000 0.0000 (multiplicity 1)  6 Li 3.54-3.55, 6 Cr 3.55
Li 0.3333 0.6667 0.4976 (multiplicity 1)  3 Cr 2.94
Cr 0.6667 0.3333 0.5018 (multiplicity 1)  3 Li 2.94

Properties
* formation energy from the elements: 566 meV/atom
* E above lowest polymorph: 7.6 meV per atom

Record 7
VASP calculation (PBE) on a geometry-optimized YEr7Th2 structure.

a = 8.6409 Å, b = 16.6136 Å, c = 5.4644 Å
α = 90.00°, β = 90.00°, γ = 90.00°
Closest atoms and distances in Å follow each position.
Space group Cmmm (No. 65)
Symmetry-distinct sites (fractional):
Y 0.0000 0.0000 0.0000 (multiplicity 2)  10 Er 3.41-3.62
Er 0.0000 0.2052 0.0000 (multiplicity 4)  2 Th 3.11, 1 Y 3.41
Er 0.0000 0.5000 0.5000 (multiplicity 2)  4 Er 3.34, 2 Th 3.41
Er 0.1756 0.1096 0.5000 (multiplicity 8)  2 Er 3.04-3.34, 1 Th 3.22
Th 0.0000 0.2949 0.5000 (multiplicity 4)  7 Er 3.11-3.43

Properties
* formation energy from the elements: 779 meV/atom
* E above lowest polymorph: 683.1 meV per atom

Record 8
VASP calculation (PBE) on a geometry-optimized Cs2UGe2Te6 structure.

a = 14.2837 Å, b = 8.3269 Å, c = 9.0471 Å
α = 90.00°, β = 122.52°, γ = 90.00°
Closest atoms and distances in Å follow each position.
Space group C2/m (No. 12)
Symmetry-distinct sites (fractional):
Cs 0.2200 0.0000 0.2228 (multiplicity 4)  7 Te 3.85-4.25
U 0.0000 0.0000 0.5000 (multiplicity 2)  6 Te 2.94-3.05
Ge 0.0371 0.5000 0.1655 (multiplicity 4)  1 Ge 2.58, 3 Te 2.63-2.67
Te 0.0504 0.2437 0.7846 (multiplicity 8)  1 Ge 2.63
Te 0.2418 0.0000 0.6653 (multiplicity 4)  1 Ge 2.67, 1 U 2.94

Properties
* formation energy without anion corrections: -483 meV per atom

Record 9
VASP calculation (PBE) on a geometry-optimized Rb3SrSn2I9 structure.

a = 8.8954 Å, b = 8.8954 Å, c = 11.2594 Å
α = 90.00°, β = 90.00°, γ = 120.00°
Closest atoms and distances in Å follow each position.
Space group P-3m1 (No. 164)
Symmetry-distinct sites (fractional):
Rb 0.0000 0.0000 0.0000 (multiplicity 1)  12 I 4.38-4.45
Rb 0.3333 0.6667 0.7377 (multiplicity 2)  3 I 3.91
Sr 0.0000 0.0000 0.5000 (multiplicity 1)  6 I 3.25
Sn 0.3333 0.6667 0.1686 (multiplicity 2)  6 I 3.11-3.19
I 0.0000 0.5000 0.0000 (multiplicity 3)  2 Sn 3.19
I 0.1638 0.3276 0.3182 (multiplicity 6)  1 Sn 3.11, 1 Sr 3.25

Properties
* formation energy without anion corrections: -1096 meV per atom

Record 10
VASP calculation (PBE) on a geometry-optimized NbSiS3 structure.

a = 4.4519 Å, b = 4.4519 Å, c = 4.4519 Å
α = 90.00°, β = 90.00°, γ = 90.00°
Closest atoms and distances in Å follow each position.
Space group Pm-3m (No. 221)
Symmetry-distinct sites (fractional):
Nb 0.0000 0.0000 0.0000 (multiplicity 1)  12 S 3.15
Si 0.5000 0.5000 0.5000 (multiplicity 1)  6 S 2.23
S 0.0000 0.5000 0.5000 (multiplicity 3)  2 Si 2.23

Properties
* formation energy without anion corrections: 268 meV per atom
* E above lowest polymorph: 178.4 meV per atom

Record 11
VASP calculation (PBE) on a geometry-optimized SrTl2GePd structure.

a = 5.5659 Å, b = 5.5659 Å, c = 4.8024 Å
α = 90.00°, β = 90.00°, γ = 90.00°
Closest atoms and distances in Å follow each position.
Space group P4/mmm (No. 123)
Symmetry-distinct sites (fractional):
Sr 0.0000 0.0000 0.0000 (multiplicity 1)  8 Tl 3.68, 4 Pd 3.94
Tl 0.0000 0.5000 0.5000 (multiplicity 2)  2 Ge 2.78
Ge 0.5000 0.5000 0.5000 (multiplicity 1)  2 Pd 2.40
Pd 0.5000 0.5000 0.0000 (multiplicity 1)  2 Ge 2.40

Properties
* formation energy from the elements: -88 meV/atom

Record 12
VASP calculation (PBE) on a geometry-optimized POs2Cl structure.

a = 9.5381 Å, b = 2.8527 Å, c = 5.9408 Å
α = 90.00°, β = 93.21°, γ = 90.00°
Closest atoms and distances in Å follow each position.
Space group Cm (No. 8)
Symmetry-distinct sites (fractional):
P 0.0000 0.0000 0.0000 (multiplicity 2)  4 Os 2.39-2.46
Os 0.1674 0.5000 0.2211 (multiplicity 2)  2 P 2.46, 3 Os 2.54-2.68, 2 Cl 2.58
Os 0.4049 0.0000 0.2759 (multiplicity 2)  1 Cl 2.38, 2 P 2.39, 1 Os 2.54
Cl 0.2442 0.0000 0.5690 (multiplicity 2)  3 Os 2.38-2.58

Properties
* formation energy without anion corrections: 621 meV per atom
* E above lowest polymorph: 398.2 meV per atom

Uncorrected energy, respectively: -7.887 -4.472 -5.048 -3.556 -2.428 -3.840 -4.546 -4.218 -2.866 -5.307 -3.333 -6.808 eV per atom.
M_tot, respectively: 0.46 0.00 0.00 0.00 0.00 4.87 0.00 2.00 0.00 2.16 0.00 0.00 μB per formula unit.